Record 1
BeFeCo3 | PBE | relaxed

The space group is Pm-3m (221). The value obtained for the magnetic moment is 6.45 Bohr magnetons per cell. The calculation puts the density of states at the Fermi level at 2.9 states/eV/f.u. The value obtained for the formation energy is 220 kJ/mol of formula units.

a b c (Å): 3.823 3.823 3.823
angles (deg): 90.00 90.00 90.00
Last column: magnetic moment on the atom in μB.
Sites, in units of the cell vectors:
Be1 0.000 0.000 0.000  -0.11
Co1 0.000 0.500 0.000  1.17
Co2 0.000 0.000 0.500  1.26
Co3 0.500 0.000 0.000  1.19
Fe1 0.500 0.500 0.500  3.08

---

Record 2
Be4FeCo3 | PBE | relaxed

The space group is P4/mmm (123). The value obtained for the magnetic moment is 6.53 Bohr magnetons per cell. The calculation puts the density of states at the Fermi level at 7.6 states/eV/f.u. The value obtained for the formation energy is -209 kJ/mol of formula units.

a b c (Å): 3.683 5.244 7.366
angles (deg): 90.00 90.00 90.00
Last column: magnetic moment on the atom in μB.
Sites, in units of the cell vectors:
Be1 0.500 0.765 0.000  -0.04
Be2 0.500 0.765 0.500  -0.04
Be3 0.500 0.235 0.000  -0.04
Be4 0.500 0.235 0.500  -0.04
Be5 0.000 0.765 0.750  -0.04
Be6 0.000 0.765 0.250  -0.04
Be7 0.000 0.235 0.250  -0.04
Be8 0.000 0.235 0.750  -0.04
Co1 0.000 0.000 0.000  0.36
Co2 0.000 0.000 0.500  0.36
Co3 0.500 0.000 0.750  0.27
Co4 0.500 0.000 0.250  0.27
Co5 0.500 0.500 0.750  0.75
Co6 0.500 0.500 0.250  0.75
Fe1 0.000 0.500 0.000  2.07
Fe2 0.000 0.500 0.500  2.07

---

Record 3
Be5FeCo | PBE | relaxed

The space group is Pnma (62). The value obtained for the magnetic moment is 7.66 Bohr magnetons per cell. The calculation puts the density of states at the Fermi level at 3.9 states/eV/f.u. The value obtained for the formation energy is -85 kJ/mol of formula units.

a b c (Å): 4.067 6.776 8.635
angles (deg): 90.00 90.00 90.00
Last column: magnetic moment on the atom in μB.
Sites, in units of the cell vectors:
Be1 0.250 0.596 0.016  -0.04
Be2 0.750 0.904 0.516  -0.04
Be3 0.250 0.096 0.484  -0.04
Be4 0.750 0.404 0.984  -0.04
Be5 0.750 0.307 0.751  -0.03
Be6 0.250 0.193 0.251  -0.03
Be7 0.750 0.807 0.749  -0.03
Be8 0.250 0.693 0.249  -0.03
Be9 0.250 0.961 0.088  -0.03
Be10 0.750 0.539 0.588  -0.03
Be11 0.250 0.461 0.412  -0.03
Be12 0.750 0.039 0.912  -0.03
Be13 0.990 0.440 0.193  -0.03
Be14 0.010 0.060 0.693  -0.03
Be15 0.510 0.940 0.307  -0.03
Be16 0.490 0.560 0.807  -0.03
Be17 0.010 0.560 0.807  -0.03
Be18 0.990 0.940 0.307  -0.03
Be19 0.490 0.060 0.693  -0.03
Be20 0.510 0.440 0.193  -0.03
Fe1 0.250 0.250 0.925  1.66
Fe2 0.750 0.250 0.425  1.66
Fe3 0.250 0.750 0.575  1.66
Fe4 0.750 0.750 0.075  1.66
Co1 0.250 0.851 0.861  0.49
Co2 0.750 0.649 0.361  0.49
Co3 0.250 0.351 0.639  0.49
Co4 0.750 0.149 0.139  0.49

---

Record 4
Be5FeCo6 | PBE | relaxed

The space group is Cmmm (65). The value obtained for the magnetic moment is 3.52 Bohr magnetons per cell. The calculation puts the density of states at the Fermi level at 12.0 states/eV/f.u. The value obtained for the formation energy is -282 kJ/mol of formula units.

a b c (Å): 3.721 5.283 5.874
angles (deg): 90.00 108.52 90.00
Last column: magnetic moment on the atom in μB.
Sites, in units of the cell vectors:
Be1 0.663 0.500 0.329  -0.01
Be2 0.335 0.000 0.670  -0.02
Be3 0.000 0.500 0.000  -0.01
Be4 0.665 0.000 0.330  -0.02
Be5 0.337 0.500 0.671  -0.01
Co1 0.831 0.744 0.660  0.22
Co2 0.831 0.256 0.660  0.22
Co3 0.500 0.260 0.000  0.29
Co4 0.500 0.740 0.000  0.29
Co5 0.169 0.744 0.340  0.22
Co6 0.169 0.256 0.340  0.22
Fe1 0.000 0.000 0.000  2.16

---

Record 5
Be2FeCo3 | PBE | relaxed

The space group is P4/mmm (123). The value obtained for the magnetic moment is 5.28 Bohr magnetons per cell. The calculation puts the density of states at the Fermi level at 4.7 states/eV/f.u. The value obtained for the formation energy is -111 kJ/mol of formula units.

a b c (Å): 2.695 2.695 8.005
angles (deg): 90.00 90.00 90.00
Last column: magnetic moment on the atom in μB.
Sites, in units of the cell vectors:
Be1 0.500 0.500 0.847  -0.04
Be2 0.500 0.500 0.153  -0.04
Fe1 0.500 0.500 0.500  2.68
Co1 0.000 0.000 0.000  0.41
Co2 0.000 0.000 0.684  1.17
Co3 0.000 0.000 0.316  1.17

---

Record 6
Be6FeCo5 | PBE | relaxed

The space group is Immm (71). The value obtained for the magnetic moment is 3.85 Bohr magnetons per cell. The calculation puts the density of states at the Fermi level at 7.5 states/eV/f.u. The value obtained for the formation energy is -344 kJ/mol of formula units.

a b c (Å): 3.676 5.245 6.365
angles (deg): 114.33 106.79 90.00
Last column: magnetic moment on the atom in μB.
Sites, in units of the cell vectors:
Be1 0.172 0.435 0.345  -0.03
Be2 0.172 0.910 0.345  -0.03
Be3 0.500 0.275 0.000  -0.03
Be4 0.500 0.725 0.000  -0.03
Be5 0.828 0.090 0.655  -0.03
Be6 0.828 0.565 0.655  -0.03
Co1 0.344 0.844 0.687  0.57
Co2 0.670 0.670 0.339  0.16
Co3 0.000 0.500 0.000  0.33
Co4 0.330 0.330 0.661  0.16
Co5 0.656 0.156 0.313  0.57
Fe1 0.000 0.000 0.000  2.27

---

Record 7
BeFe2Co3 | PBE | relaxed

The space group is Cmmm (65). The value obtained for the magnetic moment is 9.23 Bohr magnetons per cell. The calculation puts the density of states at the Fermi level at 3.2 states/eV/f.u. The value obtained for the formation energy is -59 kJ/mol of formula units.

a b c (Å): 2.823 3.899 6.124
angles (deg): 108.56 90.00 90.00
Last column: magnetic moment on the atom in μB.
Sites, in units of the cell vectors:
Be1 0.000 0.000 0.000  -0.08
Fe1 0.000 0.336 0.671  2.69
Fe2 0.000 0.664 0.329  2.69
Co1 0.500 0.500 0.000  1.21
Co2 0.500 0.837 0.673  1.43
Co3 0.500 0.163 0.327  1.43

---

Record 8
BeFe3Co | PBE | relaxed

The space group is Pm-3m (221). The value obtained for the magnetic moment is 0.00 Bohr magnetons per cell. The calculation puts the density of states at the Fermi level at 12.6 states/eV/f.u. The value obtained for the formation energy is 789 kJ/mol of formula units.

a b c (Å): 4.103 4.103 4.103
angles (deg): 90.00 90.00 90.00
Sites, in units of the cell vectors:
Be1 0.500 0.500 0.500
Co1 0.000 0.000 0.000
Fe1 0.000 0.500 0.000
Fe2 0.000 0.000 0.500
Fe3 0.500 0.000 0.000

---

Among the records above, which one has the highest magnetic moment?
BeFe2Co3

---

The highest magnetic moment belongs to which entry?
BeFe2Co3